Entry 1:
This record from Alexandria via LeMat-Bulk describes crystalline NpZn17Hg at its relaxed geometry. The functional is PBE.

Unit cell a=6.849 b=6.849 c=6.849 alpha=82.19 beta=82.19 gamma=82.19
Positions (direct):
Zn  0.706  0.311  0.999
Zn  0.102  0.102  0.102
Zn  0.850  0.349  0.349
Zn  0.311  0.999  0.706
Zn  0.349  0.349  0.850
Zn  0.015  0.015  0.502
Zn  0.502  0.015  0.015
Zn  0.999  0.706  0.311
Zn  0.653  0.653  0.142
Zn  0.706  0.999  0.311
Zn  0.142  0.653  0.653
Hg  0.595  0.595  0.595
Zn  0.311  0.706  0.999
Zn  0.015  0.502  0.015
Zn  0.999  0.311  0.706
Zn  0.349  0.850  0.349
Zn  0.903  0.903  0.903
Zn  0.653  0.142  0.653
Np  0.340  0.340  0.340

ΔE_f   4 meV/atom



Entry 2:
This record from Alexandria via LeMat-Bulk describes crystalline KCd3Ga at its relaxed geometry. The functional is PBE.

Unit cell a=6.178 b=6.178 c=6.178 alpha=90.00 beta=90.00 gamma=90.00
Positions (direct):
Cd  0.000  0.500  0.000
Cd  0.000  0.000  0.500
Ga  0.500  0.500  0.500
K  0.000  0.000  0.000
Cd  0.500  0.000  0.000

Excess energy over the best structure of this formula in the dataset   0.8170 eV/atom
ΔE_f   743 meV/atom



Entry 3:
This record from Alexandria via LeMat-Bulk describes crystalline Sb2PSeI at its relaxed geometry. The functional is PBE.

Unit cell a=5.358 b=5.358 c=5.174 alpha=90.00 beta=90.00 gamma=90.00
Positions (direct):
Sb  0.000  0.500  0.000
I  0.000  0.000  0.500
Sb  0.500  0.000  0.000
Se  0.500  0.500  0.500
P  0.000  0.000  0.000

Energy relative to the elements, uncorrected   660 meV/atom
Excess energy over the best structure of this formula in the dataset   0.0000 eV/atom



Entry 4:
This record from Alexandria via LeMat-Bulk describes crystalline La2Pr5NdTm at its relaxed geometry. The functional is PBE.

Unit cell a=8.807 b=8.807 c=10.415 alpha=115.01 beta=115.01 gamma=90.00
Positions (direct):
Tm  0.250  0.750  0.500
Pr  0.924  0.424  0.287
La  0.120  0.380  0.000
Pr  0.363  0.863  0.287
Pr  0.137  0.076  0.713
Pr  0.000  0.000  0.000
Nd  0.250  0.250  0.500
Tm  0.750  0.250  0.500
La  0.380  0.880  0.000
Pr  0.576  0.637  0.713
Nd  0.750  0.750  0.500
Pr  0.500  0.500  0.000
Pr  0.076  0.576  0.713
Pr  0.637  0.137  0.713
Pr  0.424  0.363  0.287
La  0.880  0.620  0.000
Pr  0.863  0.924  0.287
La  0.620  0.120  0.000

ΔE_f   247 meV/atom



Entry 5:
This record from Alexandria via LeMat-Bulk describes crystalline AlCN2O at its relaxed geometry. The functional is PBE.

Unit cell a=3.827 b=3.827 c=3.610 alpha=90.00 beta=90.00 gamma=90.00
Positions (direct):
N  0.000  0.500  0.000
C  0.500  0.500  0.500
N  0.500  0.000  0.000
Al  0.000  0.000  0.000
O  0.000  0.000  0.500

Energy relative to the elements, uncorrected   1760 meV/atom



Entry 6:
This record from Alexandria via LeMat-Bulk describes crystalline TmLuMg4 at its relaxed geometry. The functional is PBE.

Unit cell a=5.979 b=5.979 c=5.979 alpha=60.00 beta=60.00 gamma=60.00
Positions (direct):
Mg  0.625  0.625  0.625
Tm  0.250  0.250  0.250
Mg  0.625  0.625  0.125
Mg  0.625  0.125  0.625
Lu  0.000  0.000  0.000
Mg  0.125  0.625  0.625

ΔE_f   -44 meV/atom



Entry 7:
This record from Alexandria via LeMat-Bulk describes crystalline ScFeSi2 at its relaxed geometry. The functional is PBE.

Unit cell a=4.606 b=4.606 c=2.902 alpha=89.98 beta=89.98 gamma=107.47
Positions (direct):
Sc  0.000  0.500  0.500
Si  0.000  0.000  0.000
Fe  0.500  0.000  0.500
Si  0.500  0.500  0.000

Energy relative to the elements, uncorrected   -179 meV/atom



Entry 8:
This record from Alexandria via LeMat-Bulk describes crystalline NbSb3Os at its relaxed geometry. The functional is PBE.

Unit cell a=5.136 b=5.136 c=5.136 alpha=90.00 beta=90.00 gamma=90.00
Positions (direct):
Nb  0.500  0.500  0.500
Sb  0.000  0.000  0.500
Sb  0.000  0.500  0.000
Sb  0.500  0.000  0.000
Os  0.000  0.000  0.000

Energy relative to the elements, uncorrected   1125 meV/atom
Excess energy over the best structure of this formula in the dataset   0.0000 eV/atom



Entry 9:
This record from Alexandria via LeMat-Bulk describes crystalline Zn4Pt3 at its relaxed geometry. The functional is PBE.

Unit cell a=10.037 b=10.037 c=10.037 alpha=161.23 beta=161.23 gamma=26.67
Positions (direct):
Pt  0.295  0.295  0.000
Pt  0.705  0.705  0.000
Zn  0.570  0.570  0.000
Zn  0.430  0.430  0.000
Pt  0.000  0.000  0.000
Zn  0.145  0.145  0.000
Zn  0.855  0.855  0.000

Excess energy over the best structure of this formula in the dataset   0.1049 eV/atom
ΔE_f   -363 meV/atom



Entry 10:
This record from Alexandria via LeMat-Bulk describes crystalline Pm4InPb4 at its relaxed geometry. The functional is PBE.

Unit cell a=6.412 b=9.295 c=9.295 alpha=90.00 beta=90.00 gamma=90.00
Positions (direct):
Pm  0.872  0.317  0.068
Pm  0.128  0.932  0.317
Pm  0.372  0.568  0.183
Pb  0.377  0.215  0.102
Pm  0.628  0.817  0.568
Pm  0.872  0.683  0.932
Pb  0.623  0.102  0.785
Pb  0.377  0.785  0.898
Pm  0.372  0.432  0.817
Pb  0.123  0.285  0.398
Pm  0.128  0.068  0.683
Pb  0.623  0.898  0.215
Pb  0.877  0.398  0.715
Pb  0.877  0.602  0.285
In  0.000  0.000  0.000
In  0.500  0.500  0.500
Pm  0.628  0.183  0.432
Pb  0.123  0.715  0.602

ΔE_f   -361 meV/atom



Entry 11:
This record from Alexandria via LeMat-Bulk describes crystalline Pa2BiPt3 at its relaxed geometry. The functional is PBE.

Unit cell a=10.174 b=9.785 c=9.673 alpha=49.65 beta=53.71 gamma=60.84
Positions (direct):
Pt  0.185  0.587  0.571
Bi  0.000  0.000  0.000
Pa  0.286  0.746  0.158
Pt  0.899  0.426  0.788
Pa  0.319  0.274  0.565
Pt  0.078  0.206  0.574
Bi  0.500  0.000  0.000
Pt  0.517  0.109  0.294
Pa  0.681  0.726  0.435
Pa  0.714  0.254  0.842
Pt  0.441  0.460  0.746
Pt  0.922  0.794  0.426
Pt  0.559  0.540  0.254
Pt  0.384  0.815  0.411
Pt  0.815  0.413  0.429
Bi  0.000  0.500  0.000
Pt  0.101  0.574  0.212
Pa  0.266  0.271  0.175
Pt  0.483  0.891  0.706
Pa  0.734  0.729  0.825
Bi  0.000  0.000  0.500
Pa  0.767  0.213  0.230
Pt  0.616  0.185  0.589
Pa  0.233  0.787  0.770

ΔE_f   -602 meV/atom



Entry 12:
This record from Alexandria via LeMat-Bulk describes crystalline RbTlBiSe3 at its relaxed geometry. The functional is PBE.

Unit cell a=4.500 b=9.287 c=10.698 alpha=105.17 beta=90.00 gamma=90.00
Positions (direct):
Tl  0.250  0.086  0.621
Se  0.750  0.460  0.148
Se  0.750  0.878  0.104
Se  0.250  0.763  0.452
Bi  0.750  0.332  0.882
Se  0.750  0.237  0.548
Se  0.250  0.540  0.852
Se  0.250  0.122  0.896
Tl  0.750  0.914  0.379
Rb  0.250  0.217  0.244
Rb  0.750  0.783  0.756
Bi  0.250  0.668  0.118

Energy relative to the elements, uncorrected   -525 meV/atom